# 1
# AcNbTl, optimized geometry, DFT GGA-PBE
# - Energy: -13.13 eV/f.u.
# - Energy above the lowest structure with this stoichiometry: 0.429 eV/atom
# - Size of the total moment: 3.082 μB per formula unit
data_AcNbTl
_chemical_formula_sum 'Ac4 Nb4 Tl4'
_space_group_name_H-M_alt 'F -4 3 m'
_space_group_IT_number 216
_space_group_name_Hall 'F -4 2 3'
_cell_length_a 7.519
_cell_length_b 7.519
_cell_length_c 7.519
_cell_angle_alpha 90.00
_cell_angle_beta 90.00
_cell_angle_gamma 90.00
loop_
_atom_site_label
_atom_site_type_symbol
_atom_site_fract_x
_atom_site_fract_y
_atom_site_fract_z
_atom_site_occupancy
Ac1 Ac 0.000 0.000 0.000 1
Nb1 Nb 0.250 0.250 0.750 1
Tl1 Tl 0.250 0.250 0.250 1

---

# 2
# AcTmNb, optimized geometry, DFT GGA-PBE
# - Energy: -16.27 eV/f.u.
# - Energy above the lowest structure with this stoichiometry: 0.000 eV/atom
# - Energy of formation: 2.4 eV/f.u.
# - Size of the total moment: 2.900 μB per formula unit
data_AcTmNb
_chemical_formula_sum 'Ac4 Tm4 Nb4'
_space_group_name_H-M_alt 'F -4 3 m'
_space_group_IT_number 216
_space_group_name_Hall 'F -4 2 3'
_cell_length_a 7.405
_cell_length_b 7.405
_cell_length_c 7.405
_cell_angle_alpha 90.00
_cell_angle_beta 90.00
_cell_angle_gamma 90.00
loop_
_atom_site_label
_atom_site_type_symbol
_atom_site_fract_x
_atom_site_fract_y
_atom_site_fract_z
_atom_site_occupancy
Ac1 Ac 0.000 0.000 0.000 1
Tm1 Tm 0.000 0.000 0.500 1
Nb1 Nb 0.250 0.250 0.750 1

---

# 3
# AcUNb, optimized geometry, DFT GGA-PBE
# - Energy: -22.11 eV/f.u.
# - Energy above the lowest structure with this stoichiometry: 0.000 eV/atom
# - Energy of formation: 3.4 eV/f.u.
# - Size of the total moment: 2.020 μB per formula unit
data_AcUNb
_chemical_formula_sum 'Ac4 U4 Nb4'
_space_group_name_H-M_alt 'F -4 3 m'
_space_group_IT_number 216
_space_group_name_Hall 'F -4 2 3'
_cell_length_a 7.072
_cell_length_b 7.072
_cell_length_c 7.072
_cell_angle_alpha 90.00
_cell_angle_beta 90.00
_cell_angle_gamma 90.00
loop_
_atom_site_label
_atom_site_type_symbol
_atom_site_fract_x
_atom_site_fract_y
_atom_site_fract_z
_atom_site_occupancy
Ac1 Ac 0.000 0.000 0.000 1
U1 U 0.000 0.000 0.500 1
Nb1 Nb 0.250 0.250 0.250 1

---

# 4
# AcZrNb, optimized geometry, DFT GGA-PBE
# - Energy: -20.43 eV/f.u.
# - Energy above the lowest structure with this stoichiometry: 0.000 eV/atom
# - Energy of formation: 2.3 eV/f.u.
# - Size of the total moment: 0.013 μB per formula unit
data_AcZrNb
_chemical_formula_sum 'Ac4 Zr4 Nb4'
_space_group_name_H-M_alt 'F -4 3 m'
_space_group_IT_number 216
_space_group_name_Hall 'F -4 2 3'
_cell_length_a 6.978
_cell_length_b 6.978
_cell_length_c 6.978
_cell_angle_alpha 90.00
_cell_angle_beta 90.00
_cell_angle_gamma 90.00
loop_
_atom_site_label
_atom_site_type_symbol
_atom_site_fract_x
_atom_site_fract_y
_atom_site_fract_z
_atom_site_occupancy
Ac1 Ac 0.000 0.000 0.000 1
Zr1 Zr 0.000 0.000 0.500 1
Nb1 Nb 0.250 0.250 0.250 1